DFT (PBE-GGA) results for a relaxed structure of YRu4Se.

a = 5.261 Å, b = 5.261 Å, c = 5.261 Å
α = 60.00°, β = 60.00°, γ = 60.00°
Fractional positions:
1 Y 0.000 0.000 0.000
2 Ru 0.872 0.376 0.376
3 Ru 0.376 0.376 0.376
4 Ru 0.376 0.376 0.872
5 Ru 0.376 0.872 0.376
6 Se 0.750 0.750 0.750

Summary:
DOS(E_F) (states/eV per atom): 1.5746
Final energy (Ha/atom): -0.2798
Formation energy without anion corrections (eV per atom): 0.23


DFT (PBE-GGA) results for a relaxed structure of YRu3Se.

a = 4.943 Å, b = 4.943 Å, c = 4.943 Å
α = 90.00°, β = 90.00°, γ = 90.00°
Fractional positions:
1 Ru 0.000 0.500 0.000
2 Ru 0.500 0.000 0.000
3 Ru 0.000 0.000 0.500
4 Y 0.000 0.000 0.000
5 Se 0.500 0.500 0.500

Summary:
DOS(E_F) (states/eV per atom): 0.7186
Polymorph energy (0 for the lowest one) (meV/atom): 1797
Final energy (Ha/atom): -0.2034
Formation energy without anion corrections (eV per atom): 2.02